CuAg2Au | meta-GGA SCAN | single point on PBEsol structure

Unit cell a=3.9246 b=3.9246 c=4.8830 alpha=113.69 beta=113.69 gamma=90.00
Positions (direct):
Au1 0.5000 0.5000 0.0000
Cu1 0.0000 0.0000 0.0000
Ag1 0.7500 0.2500 0.5000
Ag2 0.2500 0.7500 0.5000

Volume, Å³ per atom: 15.5
Space-group type: I4/mmm (139)
VASP energy, eV/atom: -36.77